Model i:
DFT (GGA-PBE) results for crystalline MnTc2Ir at its relaxed geometry.

Cell: 4.6547 4.6547 4.6547 Å, 131.39 131.39 71.20°
Positions (direct):
Tc 0.0000 0.0000 0.0000
Mn 0.7500 0.2500 0.5000
Ir 0.5000 0.5000 0.0000
Tc 0.2500 0.7500 0.5000

Computed properties:
* SG: No. 119
* DOS at the Fermi energy: 4.41 states/eV per cell

Model ii:
DFT (GGA-PBE) results for crystalline MnTc2Ir at its relaxed geometry.

Cell: 4.7079 4.7079 4.6439 Å, 80.74 80.74 33.40°
Positions (direct):
Ir 0.7500 0.7500 0.7500
Tc 0.0024 0.0024 0.0017
Tc 0.4976 0.4976 0.4983
Mn 0.2500 0.2500 0.2500

Computed properties:
* SG: No. 12
* DOS at the Fermi energy: 4.55 states/eV per cell

Which structure loses on stability? model ii does.